Record 1
A relaxed structure of VPPb3O8, computed with PBEsol.

a = 5.555 Å, b = 5.555 Å, c = 7.451 Å
α = 68.11°, β = 68.11°, γ = 60.00°
Sites, in units of the cell vectors:
O: 0.266 0.266 0.697
O: 0.770 0.266 0.697
O: 0.723 0.723 0.288
O: 0.266 0.770 0.697
O: 0.673 0.673 0.980
O: 0.265 0.723 0.288
O: 0.723 0.265 0.288
O: 0.322 0.322 0.035
Pb: 0.789 0.789 0.632
Pb: 0.204 0.204 0.388
Pb: 0.995 0.995 0.014
V: 0.405 0.405 0.784
P: 0.597 0.597 0.210

Summary:
Space-group type: R3m, No. 160

Record 2
A relaxed structure of CsAlSi2O6, computed with PBEsol.

a = 11.960 Å, b = 11.960 Å, c = 11.960 Å
α = 109.81°, β = 109.81°, γ = 108.79°
Sites, in units of the cell vectors:
Al: 0.590 0.910 0.000
Al: 0.660 0.840 0.500
Al: 0.910 0.590 0.000
Al: 0.840 0.340 0.180
Al: 0.340 0.160 0.500
Al: 0.160 0.660 0.820
Al: 0.410 0.410 0.320
Al: 0.090 0.090 0.680
O: 0.247 0.647 0.341
O: 0.010 0.502 0.706
O: 0.696 0.990 0.491
O: 0.094 0.753 0.401
O: 0.965 0.107 0.572
O: 0.003 0.103 0.159
O: 0.747 0.406 0.599
O: 0.998 0.490 0.294
O: 0.510 0.804 0.509
O: 0.035 0.607 0.142
O: 0.054 0.045 0.794
O: 0.893 0.465 0.858
O: 0.554 0.760 0.009
O: 0.752 0.545 0.991
O: 0.156 0.997 0.099
O: 0.240 0.248 0.794
O: 0.357 0.285 0.642
O: 0.944 0.844 0.841
O: 0.955 0.748 0.009
O: 0.897 0.056 0.901
O: 0.594 0.194 0.341
O: 0.252 0.260 0.206
O: 0.607 0.035 0.142
O: 0.498 0.205 0.509
O: 0.853 0.253 0.659
O: 0.353 0.694 0.599
O: 0.306 0.906 0.659
O: 0.785 0.857 0.642
O: 0.643 0.715 0.358
O: 0.397 0.497 0.841
O: 0.444 0.603 0.099
O: 0.143 0.785 0.928
O: 0.285 0.643 0.928
O: 0.740 0.946 0.991
O: 0.656 0.556 0.159
O: 0.795 0.304 0.294
O: 0.715 0.357 0.072
O: 0.393 0.535 0.428
O: 0.535 0.393 0.428
O: 0.503 0.344 0.901
O: 0.857 0.215 0.072
O: 0.196 0.705 0.706
O: 0.107 0.965 0.572
O: 0.295 0.002 0.491
O: 0.215 0.143 0.358
O: 0.465 0.893 0.858
O: 0.455 0.446 0.206
O: 0.806 0.147 0.401
Si: 0.879 0.410 0.708
Si: 0.202 0.910 0.531
Si: 0.702 0.170 0.292
Si: 0.660 0.452 0.031
Si: 0.830 0.121 0.531
Si: 0.090 0.621 0.292
Si: 0.379 0.670 0.469
Si: 0.590 0.298 0.469
Si: 0.330 0.798 0.708
Si: 0.920 0.952 0.792
Si: 0.048 0.840 0.969
Si: 0.420 0.629 0.969
Si: 0.871 0.080 0.031
Si: 0.160 0.129 0.208
Si: 0.371 0.340 0.792
Si: 0.548 0.580 0.208
Cs: 0.129 0.371 0.000
Cs: 0.379 0.879 0.259
Cs: 0.371 0.129 0.000
Cs: 0.621 0.121 0.741
Cs: 0.629 0.629 0.759
Cs: 0.871 0.871 0.241
Cs: 0.121 0.379 0.500
Cs: 0.879 0.621 0.500

Summary:
Space-group type: I4_1/acd, No. 142

Computed values of E_tot (unit: eV/atom) for the preceding records, in sequence: -7.208, -7.633.
Computed values of formation energy (no corrections) (unit: meV/atom) for the preceding records, in sequence: -1868, -2831.